No. 1
DFT (PBE) results for crystalline SiH2NO2 at its relaxed geometry.

Cell and atoms, written as CIF:
```
data_SiH2NO2
_space_group_name_H-M_alt 'C m c 21'
_space_group_IT_number 36
_cell_length_a 7.9691
_cell_length_b 5.8641
_cell_length_c 5.1410
_cell_angle_alpha 90.00
_cell_angle_beta 90.00
_cell_angle_gamma 90.00
loop_
_space_group_symop_operation_xyz
'x,y,z'
'-x,-y,z+1/2'
'-x,y,z'
'x,-y,z+1/2'
'x+1/2,y+1/2,z'
'-x+1/2,-y+1/2,z+1/2'
'-x+1/2,y+1/2,z'
'x+1/2,-y+1/2,z+1/2'
loop_
_atom_site_label
_atom_site_type_symbol
_atom_site_fract_x
_atom_site_fract_y
_atom_site_fract_z
Si1 Si 0.0000 0.1638 0.0000
H1 H 0.1085 0.2058 0.4178
N1 N 0.0000 0.1209 0.3543
O1 O 0.1611 0.3045 0.9064
```

Computed properties:
magnetization = 4.0 μB per cell
E = -5.97 eV/atom

---

No. 2
DFT (PBE) results for crystalline SiH3NO at its relaxed geometry.

Cell and atoms, written as CIF:
```
data_SiH3NO
_space_group_name_H-M_alt 'P 1 m 1'
_space_group_IT_number 6
_cell_length_a 4.4647
_cell_length_b 2.6669
_cell_length_c 4.9077
_cell_angle_alpha 90.00
_cell_angle_beta 116.84
_cell_angle_gamma 90.00
loop_
_space_group_symop_operation_xyz
'x,y,z'
'x,-y,z'
loop_
_atom_site_label
_atom_site_type_symbol
_atom_site_fract_x
_atom_site_fract_y
_atom_site_fract_z
Si1 Si 0.0000 0.0000 0.0000
H1 H 0.1520 0.5000 0.4741
H2 H 0.4748 0.5000 0.3931
H3 H 0.6689 0.0000 0.0083
N1 N 0.2158 0.5000 0.2947
O1 O 0.9713 0.5000 0.7588
```

Computed properties:
magnetization = 0.0 μB per cell
E above lowest polymorph = 0.21 eV per formula unit

---

No. 3
DFT (PBE) results for crystalline SiHN2O at its relaxed geometry.

Cell and atoms, written as CIF:
```
data_SiHN2O
_space_group_name_H-M_alt 'P 4/m m m'
_space_group_IT_number 123
_space_group_name_Hall '-P 4 2'
_cell_length_a 3.6789
_cell_length_b 3.6789
_cell_length_c 3.4162
_cell_angle_alpha 90.00
_cell_angle_beta 90.00
_cell_angle_gamma 90.00
loop_
_atom_site_label
_atom_site_type_symbol
_atom_site_fract_x
_atom_site_fract_y
_atom_site_fract_z
Si1 Si 0.0000 0.0000 0.0000
H1 H 0.5000 0.5000 0.5000
N1 N 0.0000 0.5000 0.0000
O1 O 0.0000 0.0000 0.5000
```

Computed properties:
magnetization = 2.2 μB per cell
E = -5.31 eV/atom

---

No. 4
DFT (PBE) results for crystalline SiH3NO at its relaxed geometry.

Cell and atoms, written as CIF:
```
data_SiH3NO
_space_group_name_H-M_alt 'P 1'
_space_group_IT_number 1
_cell_length_a 2.9189
_cell_length_b 2.9193
_cell_length_c 8.4279
_cell_angle_alpha 88.03
_cell_angle_beta 85.27
_cell_angle_gamma 60.02
loop_
_space_group_symop_operation_xyz
'x,y,z'
loop_
_atom_site_label
_atom_site_type_symbol
_atom_site_fract_x
_atom_site_fract_y
_atom_site_fract_z
Si1 Si 0.0000 0.0000 0.0000
H1 H 0.0928 0.7159 0.2520
H2 H 0.1394 0.4726 0.5782
H3 H 0.3858 0.3345 0.5233
N1 N 0.6830 0.6619 0.9402
O1 O 0.9264 0.0572 0.1977
```

Computed properties:
magnetization = 0.0 μB per cell
E above lowest polymorph = 0.29 eV per formula unit